a) Computed, not measured: a geometry-optimized Be2InSn structure at the GGA-PBE level of DFT.

Summary:
SG: Fm-3m
Mass density in g cm⁻³: 5.8

The structure in extended XYZ format:
```
4
Lattice="0.0000 3.2976 3.2976 3.2976 0.0000 3.2976 3.2976 3.2976 0.0000" Properties=species:S:1:pos:R:3 pbc="T T T"
Be 1.6488 1.6488 1.6488
Be 4.9464 4.9464 4.9464
In 0.0000 0.0000 0.0000
Sn 3.2976 3.2976 3.2976
```

---

b) Computed, not measured: a geometry-optimized Be2InSn structure at the GGA-PBE level of DFT.

Summary:
SG: I-42d
Mass density in g cm⁻³: 5.3

The structure in extended XYZ format:
```
8
Lattice="-3.4604 3.4604 3.2682 3.4604 -3.4604 3.2682 3.4604 3.4604 -3.2682" Properties=species:S:1:pos:R:3 pbc="T T T"
Be 5.1906 1.6829 -0.8170
Be 1.6829 1.7302 0.8170
Be -1.7302 1.7775 2.4511
Be 1.7775 1.7302 4.0852
In 3.4604 0.0000 1.6341
In 0.0000 0.0000 3.2682
Sn 0.0000 0.0000 0.0000
Sn 0.0000 3.4604 1.6341
```

---

a) is preferred energetically. Next in line: 45 meV/atom higher.